# LiMoP2WO11, optimized geometry, DFT PBE with a Hubbard U
data_LiMoP2WO11
_chemical_formula_sum 'Li2 Mo2 P4 W2 O22'
_symmetry_space_group_name_H-M 'C 1 m 1'
_symmetry_Int_Tables_number 8
_cell_length_a 8.290
_cell_length_b 6.476
_cell_length_c 7.878
_cell_angle_alpha 90.00
_cell_angle_beta 102.40
_cell_angle_gamma 90.00
loop_
_symmetry_equiv_pos_as_xyz
'x,y,z'
'x,-y,z'
'x+1/2,y+1/2,z'
'x+1/2,-y+1/2,z'
loop_
_atom_site_label
_atom_site_fract_x
_atom_site_fract_y
_atom_site_fract_z
Li1 0.000 0.000 0.000
Mo1 0.142 0.500 0.210
P1 0.236 0.000 0.313
P2 0.239 0.500 0.653
W1 0.336 0.000 0.764
O1 0.059 0.500 0.667
O2 0.134 0.184 0.218
O3 0.152 0.000 0.841
O4 0.227 0.000 0.508
O5 0.259 0.500 0.464
O6 0.310 0.500 0.114
O7 0.337 0.311 0.748
O8 0.415 0.000 0.295
O9 0.480 0.000 0.976
# V (Å³/cell): 413.0
# Final energy (eV per atom): -7.1564

=====

# Li2PaMoO8, optimized geometry, DFT PBE with a Hubbard U
data_Li2PaMoO8
_chemical_formula_sum 'Li2 Pa1 Mo1 O8'
_symmetry_space_group_name_H-M 'P 1 2/m 1'
_symmetry_Int_Tables_number 10
_cell_length_a 4.678
_cell_length_b 6.709
_cell_length_c 4.785
_cell_angle_alpha 90.00
_cell_angle_beta 96.23
_cell_angle_gamma 90.00
loop_
_symmetry_equiv_pos_as_xyz
'x,y,z'
'-x,-y,-z'
'-x,y,-z'
'x,-y,z'
loop_
_atom_site_label
_atom_site_fract_x
_atom_site_fract_y
_atom_site_fract_z
Li1 0.000 0.213 0.000
Pa1 0.500 0.000 0.500
Mo1 0.500 0.500 0.500
O1 0.243 0.000 0.806
O2 0.251 0.292 0.357
O3 0.377 0.500 0.909
# V (Å³/cell): 149.3
# Final energy (eV per atom): -6.9054

=====

# LiPaMoO5, optimized geometry, DFT PBE with a Hubbard U
data_LiPaMoO5
_chemical_formula_sum 'Li4 Pa4 Mo4 O20'
_symmetry_space_group_name_H-M 'C 1 2/c 1'
_symmetry_Int_Tables_number 15
_cell_length_a 6.778
_cell_length_b 8.944
_cell_length_c 7.977
_cell_angle_alpha 90.00
_cell_angle_beta 114.77
_cell_angle_gamma 90.00
loop_
_symmetry_equiv_pos_as_xyz
'x,y,z'
'-x,-y,-z'
'-x,y,-z+1/2'
'x,-y,z+1/2'
'x+1/2,y+1/2,z'
'-x+1/2,-y+1/2,-z'
'-x+1/2,y+1/2,-z+1/2'
'x+1/2,-y+1/2,z+1/2'
loop_
_atom_site_label
_atom_site_fract_x
_atom_site_fract_y
_atom_site_fract_z
Li1 0.000 0.188 0.250
Pa1 0.000 0.500 0.000
Mo1 0.000 0.130 0.750
O1 0.000 0.365 0.750
O2 0.154 0.031 0.427
O3 0.170 0.329 0.185
# V (Å³/cell): 439.1
# Final energy (eV per atom): -7.8233

=====

# LiMoPb2O5, optimized geometry, DFT PBE with a Hubbard U
data_LiMoPb2O5
_chemical_formula_sum 'Li4 Mo4 Pb8 O20'
_symmetry_space_group_name_H-M 'C m c 21'
_symmetry_Int_Tables_number 36
_cell_length_a 3.273
_cell_length_b 14.034
_cell_length_c 11.557
_cell_angle_alpha 90.00
_cell_angle_beta 90.00
_cell_angle_gamma 90.00
loop_
_symmetry_equiv_pos_as_xyz
'x,y,z'
'-x,-y,z+1/2'
'-x,y,z'
'x,-y,z+1/2'
'x+1/2,y+1/2,z'
'-x+1/2,-y+1/2,z+1/2'
'-x+1/2,y+1/2,z'
'x+1/2,-y+1/2,z+1/2'
loop_
_atom_site_label
_atom_site_fract_x
_atom_site_fract_y
_atom_site_fract_z
Li1 0.000 0.046 0.000
Mo1 0.000 0.299 0.592
Pb1 0.000 0.346 0.885
Pb2 0.000 0.437 0.239
O1 0.000 0.014 0.348
O2 0.000 0.168 0.551
O3 0.000 0.184 0.979
O4 0.000 0.215 0.203
O5 0.000 0.438 0.599
# V (Å³/cell): 530.9
# Final energy (eV per atom): -6.0133

=====

# Li2MoPb2O6, optimized geometry, DFT PBE with a Hubbard U
data_Li2MoPb2O6
_chemical_formula_sum 'Li6 Mo3 Pb6 O18'
_symmetry_space_group_name_H-M 'R -3 m'
_symmetry_Int_Tables_number 166
_symmetry_space_group_name_Hall '-R 3 2"'
_cell_length_a 5.8851
_cell_length_b 5.8851
_cell_length_c 15.1008
_cell_angle_alpha 90.00
_cell_angle_beta 90.00
_cell_angle_gamma 120.00
loop_
_atom_site_label
_atom_site_fract_x
_atom_site_fract_y
_atom_site_fract_z
Li1 0.0000 0.0000 0.0858
Mo1 0.0000 0.0000 0.5000
Pb1 0.0000 0.0000 0.2920
O1 0.0315 0.5158 0.2468
# V (Å³/cell): 452.9
# Final energy (eV per atom): -5.8512

=====

# LiMo2PdO8, optimized geometry, DFT PBE with a Hubbard U
data_LiMo2PdO8
_chemical_formula_sum 'Li1 Mo2 Pd1 O8'
_symmetry_space_group_name_H-M 'P -3 m 1'
_symmetry_Int_Tables_number 164
_symmetry_space_group_name_Hall '-P 3 2"'
_cell_length_a 5.8460
_cell_length_b 5.8460
_cell_length_c 5.8435
_cell_angle_alpha 90.00
_cell_angle_beta 90.00
_cell_angle_gamma 120.00
loop_
_atom_site_label
_atom_site_fract_x
_atom_site_fract_y
_atom_site_fract_z
Li1 0.0000 0.0000 0.0000
Mo1 0.3333 0.6667 0.1961
Pd1 0.0000 0.0000 0.5000
O1 0.1588 0.3175 0.2743
O2 0.3333 0.6667 0.9001
# V (Å³/cell): 172.9
# Final energy (eV per atom): -6.3548

=====

- Which value of V does entry 6 give?
  172.9 Å³/cell